Entry from Alexandria: a geometry-optimized LiTbCdGe structure (PBE).

## Properties
Calculated density   6.8 g/cm3
E_form   -419 meV per atom
SG   No. 216
E_tot   -3.4378 eV/atom

Unit cell a=4.9446 b=4.9446 c=4.9446 alpha=60.00 beta=60.00 gamma=60.00
Closest atoms and distances in Å follow each position.
Fractional coordinates of all 4 atoms:
Ge 0.2500 0.2500 0.2500  4 Tb 3.03, 4 Li 3.03
Li 0.5000 0.5000 0.5000  4 Cd 3.03, 4 Ge 3.03
Tb 0.0000 0.0000 0.0000  4 Ge 3.03, 4 Cd 3.03
Cd 0.7500 0.7500 0.7500  4 Tb 3.03, 4 Li 3.03